# TmInSn2 PBE relaxed
# Space-group type   Fm-3m (225)
# DFT formation energy   -0.154 eV/atom
# DOS(E_F)   0.626 states/eV/atom
data_TmInSn2
_cell_length_a 5.341
_cell_length_b 5.341
_cell_length_c 5.345
_cell_angle_alpha 60.02
_cell_angle_beta 60.02
_cell_angle_gamma 60.00
_symmetry_space_group_name_H-M 'P 1'
_symmetry_Int_Tables_number 1
loop_
_symmetry_equiv_pos_as_xyz
'x,y,z'
loop_
_atom_site_label
_atom_site_fract_x
_atom_site_fract_y
_atom_site_fract_z
Tm1 0.500 0.500 0.500
Sn1 0.750 0.750 0.751
Sn2 0.250 0.250 0.249
In1 0.000 0.000 0.000